1.
DFT (PBE-GGA) results for crystalline Mg2NpP2Pt7 at its relaxed geometry.

E_form	-7.099	eV/f.u.
crystal system	monoclinic
raw total energy	-76.3	eV for the cell shown
SG	C2/m (12)

```
Mg2NpP2Pt7
1.0
2.819 -2.801 0.000
2.819 2.801 0.000
-2.512 0.000 13.750
Mg Np P Pt
2 1 2 7
Cartesian
-0.474 0.000 5.428
3.599 0.000 8.322
0.000 0.000 0.000
0.348 0.000 10.134
2.778 0.000 3.616
1.395 1.406 2.295
0.764 0.000 7.920
1.730 1.406 11.455
2.819 0.000 0.000
1.395 -1.406 2.295
2.361 0.000 5.830
1.730 -1.406 11.455
```

=====

2.
DFT (PBE-GGA) results for crystalline MgNpP2Rh5 at its relaxed geometry.

E_form	-3.790	eV/f.u.
crystal system	tetragonal
raw total energy	-65.9	eV for the cell shown
SG	P4/mmm (123)

```
MgNpP2Rh5
1.0
4.051 0.000 0.000
0.000 4.051 0.000
0.000 0.000 9.863
Mg Np P Rh
1 1 2 5
Cartesian
0.000 0.000 0.000
0.000 0.000 4.931
2.026 2.026 2.659
2.026 2.026 7.203
0.000 2.026 1.688
0.000 2.026 8.175
2.026 0.000 1.688
2.026 0.000 8.175
2.026 2.026 4.931
```

=====

3.
DFT (PBE-GGA) results for crystalline Mg3NpPd12 at its relaxed geometry.

E_form	-7.526	eV/f.u.
crystal system	tetragonal
raw total energy	-87.6	eV for the cell shown
SG	P4/mmm (123)

```
Mg3NpPd12
1.0
4.050 0.000 0.000
0.000 4.050 0.000
0.000 0.000 15.771
Mg Np Pd
3 1 12
Cartesian
0.000 0.000 0.000
0.000 0.000 3.822
0.000 0.000 11.949
0.000 0.000 7.886
0.000 2.025 1.915
0.000 2.025 5.836
0.000 2.025 9.935
0.000 2.025 13.857
2.025 0.000 1.915
2.025 0.000 5.836
2.025 0.000 9.935
2.025 0.000 13.857
2.025 2.025 0.000
2.025 2.025 3.854
2.025 2.025 7.886
2.025 2.025 11.917
```

=====

4.
DFT (PBE-GGA) results for crystalline Mg2NpPd8 at its relaxed geometry.

E_form	-5.201	eV/f.u.
crystal system	monoclinic
raw total energy	-62.9	eV for the cell shown
SG	C2/m (12)

```
Mg2NpPd8
1.0
7.195 -2.072 0.000
7.195 2.072 0.000
-1.834 0.000 6.103
Mg Np Pd
2 1 8
Cartesian
2.906 0.000 0.932
9.650 0.000 5.171
6.278 0.000 3.051
0.191 0.000 1.384
0.778 0.000 4.232
3.533 0.000 3.555
5.754 0.000 0.250
6.803 0.000 5.853
9.024 0.000 2.548
11.778 0.000 1.871
12.365 0.000 4.719
```

=====

5.
DFT (PBE-GGA) results for crystalline Mg4NpPd15 at its relaxed geometry.

E_form	-8.807	eV/f.u.
crystal system	tetragonal
raw total energy	-106.0	eV for the cell shown
SG	P4/mmm (123)

```
Mg4NpPd15
1.0
4.022 0.000 0.000
0.000 4.022 0.000
0.000 0.000 19.772
Mg Np Pd
4 1 15
Cartesian
0.000 0.000 1.954
0.000 0.000 5.809
0.000 0.000 13.963
0.000 0.000 17.818
0.000 0.000 9.886
0.000 2.011 0.000
0.000 2.011 3.884
0.000 2.011 7.868
0.000 2.011 11.904
0.000 2.011 15.888
2.011 0.000 0.000
2.011 0.000 3.884
2.011 0.000 7.868
2.011 0.000 11.904
2.011 0.000 15.888
2.011 2.011 1.927
2.011 2.011 5.856
2.011 2.011 9.886
2.011 2.011 13.917
2.011 2.011 17.845
```

=====

6.
DFT (PBE-GGA) results for crystalline MgNp4Pd15 at its relaxed geometry.

E_form	-9.213	eV/f.u.
crystal system	tetragonal
raw total energy	-140.5	eV for the cell shown
SG	P4/mmm (123)

```
MgNp4Pd15
1.0
4.124 0.000 0.000
0.000 4.124 0.000
0.000 0.000 20.377
Mg Np Pd
1 4 15
Cartesian
0.000 0.000 0.000
0.000 0.000 3.907
0.000 0.000 8.099
0.000 0.000 12.278
0.000 0.000 16.470
0.000 2.062 1.949
0.000 2.062 6.027
0.000 2.062 10.189
0.000 2.062 14.350
0.000 2.062 18.428
2.062 0.000 1.949
2.062 0.000 6.027
2.062 0.000 10.189
2.062 0.000 14.350
2.062 0.000 18.428
2.062 2.062 0.000
2.062 2.062 3.994
2.062 2.062 8.114
2.062 2.062 12.264
2.062 2.062 16.383
```

=====

7.
DFT (PBE-GGA) results for crystalline MgNpPdPt at its relaxed geometry.

E_form	-1.906	eV/f.u.
crystal system	cubic
raw total energy	-27.7	eV for the cell shown
SG	F-43m (216)

```
MgNpPdPt
1.0
0.000 3.382 3.382
3.382 0.000 3.382
3.382 3.382 0.000
Mg Np Pd Pt
1 1 1 1
Cartesian
0.000 0.000 0.000
3.382 3.382 3.382
1.691 1.691 1.691
5.073 5.073 5.073
```

=====

8.
DFT (PBE-GGA) results for crystalline MgNpPt2 at its relaxed geometry.

E_form	-2.516	eV/f.u.
crystal system	tetragonal
raw total energy	-29.1	eV for the cell shown
SG	P4/mmm (123)

```
MgNpPt2
1.0
3.259 0.000 0.000
0.000 3.259 0.000
0.000 0.000 6.977
Mg Np Pt
1 1 2
Cartesian
0.000 0.000 0.000
0.000 0.000 3.488
1.629 1.629 1.550
1.629 1.629 5.427
```

=====

9.
DFT (PBE-GGA) results for crystalline MgNpPt4 at its relaxed geometry.

E_form	-2.957	eV/f.u.
crystal system	monoclinic
raw total energy	-41.7	eV for the cell shown
SG	C2/m (12)

```
MgNpPt4
1.0
4.817 -1.892 0.000
4.817 1.892 0.000
-2.310 0.000 5.806
Mg Np Pt
1 1 4
Cartesian
0.000 0.000 0.000
-1.155 0.000 2.903
1.584 0.000 3.948
2.996 0.000 0.892
4.328 0.000 4.913
5.740 0.000 1.857
```

=====

10.
DFT (PBE-GGA) results for crystalline MgNp2Pt9 at its relaxed geometry.

E_form	-7.387	eV/f.u.
crystal system	tetragonal
raw total energy	-89.2	eV for the cell shown
SG	P4/mmm (123)

```
MgNp2Pt9
1.0
4.101 0.000 0.000
0.000 4.101 0.000
0.000 0.000 12.217
Mg Np Pt
1 2 9
Cartesian
0.000 0.000 0.000
0.000 0.000 3.986
0.000 0.000 8.231
0.000 2.051 1.948
0.000 2.051 6.108
0.000 2.051 10.269
2.051 0.000 1.948
2.051 0.000 6.108
2.051 0.000 10.269
2.051 2.051 0.000
2.051 2.051 4.024
2.051 2.051 8.193
```

=====

11.
DFT (PBE-GGA) results for crystalline MgNpPt at its relaxed geometry.

E_form	-0.417	eV/f.u.
crystal system	orthorhombic
raw total energy	-42.0	eV for the cell shown
SG	Immm (71)

```
MgNpPt
1.0
-1.382 2.476 8.231
1.382 -2.476 8.231
1.382 2.476 -8.231
Mg Np Pt
2 2 2
Cartesian
0.000 0.000 2.919
0.000 0.000 13.542
1.382 1.190 0.000
0.000 1.287 8.231
0.000 0.000 5.624
0.000 0.000 10.838
```